1.
A relaxed Tc2Ge2Ir crystal, computed with GGA-PBE.

Output
Calculated density in g/cm³: 11.95

a b c (Å): 7.0726 7.0726 2.9642
angles (deg): 90.00 90.00 90.00
Last column: nearest neighbours and their distance in Å.
Space group P4/mbm (No. 127)
Inequivalent atoms, fractional coordinates:
1 Tc 0.1514 0.3486 0.0000 x4  6 Ge 2.49-2.58
2 Ge 0.1480 0.6480 0.5000 x4  6 Tc 2.49-2.58, 2 Ir 2.70
3 Ir 0.0000 0.0000 0.5000 x2  4 Ge 2.70, 2 Ir 2.96



2.
A relaxed Tc2Ge6Ir crystal, computed with GGA-PBE.

Output
Calculated density in g/cm³: 9.18
Excess energy over the best structure of this formula in the dataset in meV per atom: 25

a b c (Å): 12.0409 3.2065 8.1949
angles (deg): 90.00 109.53 90.00
Last column: nearest neighbours and their distance in Å.
Space group C2/m (No. 12)
Inequivalent atoms, fractional coordinates:
1 Tc 0.2436 0.0000 0.2454 x4  8 Ge 2.56-2.63
2 Ge 0.0624 0.5000 0.1916 x4  2 Tc 2.62, 1 Ir 2.87, 4 Ge 2.91-2.94
3 Ge 0.1543 0.0000 0.9081 x4  3 Tc 2.59-2.61, 2 Ge 2.80
4 Ge 0.1593 0.0000 0.5034 x4  2 Ir 2.49, 3 Tc 2.56-2.63, 2 Ge 2.72
5 Ir 0.0000 0.5000 0.5000 x2  4 Ge 2.49



3.
A relaxed ThTcGe2Ir crystal, computed with GGA-PBE.

Output
Calculated density in g/cm³: 11.79

a b c (Å): 4.3220 4.3220 10.0651
angles (deg): 90.00 90.00 90.00
Last column: nearest neighbours and their distance in Å.
Space group I-4m2 (No. 119)
Inequivalent atoms, fractional coordinates:
1 Th 0.0000 0.0000 0.0000 x2  4 Tc 3.32, 4 Ir 3.32, 8 Ge 3.32
2 Tc 0.0000 0.5000 0.2500 x2  4 Ge 2.48
3 Ge 0.0000 0.0000 0.3718 x4  2 Tc 2.48, 2 Ir 2.48, 1 Ge 2.58
4 Ir 0.0000 0.5000 0.7500 x2  4 Ge 2.48



4.
A relaxed Th2TcGe4Ir3 crystal, computed with GGA-PBE.

Output
Calculated density in g/cm³: 12.63

a b c (Å): 4.3401 4.3401 9.9793
angles (deg): 90.00 90.00 90.00
Last column: nearest neighbours and their distance in Å.
Space group P-4m2 (No. 115)
Inequivalent atoms, fractional coordinates:
1 Th 0.0000 0.5000 0.2487 x2  2 Tc 3.30, 6 Ir 3.30-3.31, 8 Ge 3.30-3.32
2 Tc 0.5000 0.5000 0.0000 x1  4 Ge 2.51
3 Ge 0.0000 0.0000 0.5000 x1  4 Ir 2.51
4 Ge 0.0000 0.5000 0.8739 x2  3 Ir 2.46-2.51, 2 Tc 2.51
5 Ge 0.5000 0.5000 0.5000 x1  4 Ir 2.51
6 Ir 0.0000 0.0000 0.0000 x1  4 Ge 2.51
7 Ir 0.0000 0.5000 0.6271 x2  5 Ge 2.46-2.51



5.
A relaxed TiTcGeIr crystal, computed with GGA-PBE.

Output
Calculated density in g/cm³: 11.79

a b c (Å): 6.1400 6.1400 6.1400
angles (deg): 90.00 90.00 90.00
Last column: nearest neighbours and their distance in Å.
Space group F-43m (No. 216)
Inequivalent atoms, fractional coordinates:
1 Ti 0.0000 0.0000 0.0000 x4  4 Tc 2.66, 4 Ir 2.66
2 Tc 0.2500 0.2500 0.7500 x4  4 Ge 2.66, 4 Ti 2.66
3 Ge 0.0000 0.0000 0.5000 x4  4 Tc 2.66, 4 Ir 2.66
4 Ir 0.2500 0.2500 0.2500 x4  4 Ge 2.66, 4 Ti 2.66



6.
A relaxed UTc2Ge2Ir crystal, computed with GGA-PBE.

Output
Calculated density in g/cm³: 12.91

a b c (Å): 4.2901 7.6492 6.0459
angles (deg): 90.00 90.00 90.00
Last column: nearest neighbours and their distance in Å.
Space group Pmc2_1 (No. 26)
Inequivalent atoms, fractional coordinates:
1 U 0.0000 0.0669 0.0000 x2  2 Tc 2.80-2.99, 5 Ge 2.87-3.01, 2 Ir 2.89
2 Tc 0.0000 0.2914 0.4048 x2  4 Ge 2.42-2.50
3 Tc 0.5000 0.4539 0.0803 x2  5 Ge 2.61-2.78, 1 Ir 2.85
4 Ge 0.0000 0.4045 0.7935 x2  2 Tc 2.42-2.50
5 Ge 0.5000 0.1596 0.2998 x2  3 Tc 2.45-2.61, 2 Ir 2.56-2.72
6 Ir 0.5000 0.1907 0.7218 x2  4 Ge 2.56-2.73, 1 Tc 2.85



| no. | energy relative to the elements (eV/atom) |
| --- | --- |
| 1 | 0.144 |
| 2 | -0.014 |
| 3 | -0.654 |
| 4 | -0.739 |
| 5 | -0.613 |
| 6 | -0.199 |